YSi2TeH | PBE-GGA | relaxed

## Properties
As for the total energy: -23.29 eV per cell. The space group is No. 123.

Cell: 4.3943 4.3943 4.6798 Å, 90.00 90.00 90.00°
Fractional positions:
Y 0.0000 0.0000 0.0000
Si 0.0000 0.5000 0.5000
Si 0.5000 0.0000 0.5000
Te 0.5000 0.5000 0.0000
H 0.0000 0.0000 0.5000

---

Th2SiH2 | PBE-GGA | relaxed

## Properties
As for the total energy: -58.33 eV per cell. The space group is No. 70.

Cell: 7.0451 6.3832 6.1033 Å, 68.65 57.55 53.79°
Fractional positions:
Th 0.0956 0.0956 0.6544
Th 0.3456 0.3456 0.9044
Th 0.6544 0.6544 0.0956
Th 0.9044 0.9044 0.3456
Si 0.3750 0.3750 0.3750
Si 0.6250 0.6250 0.6250
H 0.0120 0.2380 0.0120
H 0.2380 0.0120 0.2380
H 0.7620 0.9880 0.7620
H 0.9880 0.7620 0.9880

---

Th2SiH4 | PBE-GGA | relaxed

## Properties
As for the total energy: -74.21 eV per cell. The space group is No. 136.

Cell: 7.1913 7.1913 3.9513 Å, 90.00 90.00 90.00°
Fractional positions:
Th 0.2147 0.2147 0.0000
Th 0.2853 0.7147 0.5000
Th 0.7147 0.2853 0.5000
Th 0.7853 0.7853 0.0000
Si 0.0000 0.0000 0.5000
Si 0.5000 0.5000 0.0000
H 0.0981 0.6599 0.0000
H 0.1599 0.4019 0.5000
H 0.3401 0.9019 0.0000
H 0.4019 0.1599 0.5000
H 0.5981 0.8401 0.5000
H 0.6599 0.0981 0.0000
H 0.8401 0.5981 0.5000
H 0.9019 0.3401 0.0000

---

Th4Si2H | PBE-GGA | relaxed

## Properties
As for the total energy: -46.71 eV per cell. The space group is No. 139.

Cell: 8.8291 8.8291 8.8291 Å, 150.36 150.36 42.41°
Fractional positions:
Th 0.0000 0.5000 0.5000
Th 0.1784 0.1784 0.0000
Th 0.5000 0.0000 0.5000
Th 0.8216 0.8216 0.0000
Si 0.3642 0.3642 0.0000
Si 0.6358 0.6358 0.0000
H 0.0000 0.0000 0.0000

---

Th3SiH3 | PBE-GGA | relaxed

## Properties
As for the total energy: -81.68 eV per cell. The space group is No. 148.

Cell: 7.7425 7.7425 7.7425 Å, 52.84 52.84 52.84°
Fractional positions:
Th 0.0862 0.7398 0.4139
Th 0.2602 0.5861 0.9138
Th 0.4139 0.0862 0.7398
Th 0.5861 0.9138 0.2602
Th 0.7398 0.4139 0.0862
Th 0.9138 0.2602 0.5861
Si 0.1662 0.1662 0.1662
Si 0.8338 0.8338 0.8338
H 0.0308 0.3713 0.7168
H 0.2832 0.9692 0.6287
H 0.3713 0.7168 0.0308
H 0.6287 0.2832 0.9692
H 0.7168 0.0308 0.3713
H 0.9692 0.6287 0.2832

---

ThSiH | PBE-GGA | relaxed

## Properties
The value obtained for the energy above the lowest structure with this stoichiometry is 118 meV per atom. As for the total energy: -35.62 eV per cell. The space group is No. 166.

Cell: 7.7564 7.7564 7.7564 Å, 30.05 30.05 30.05°
Fractional positions:
Th 0.0928 0.0928 0.0928
Th 0.9072 0.9072 0.9072
Si 0.3362 0.3362 0.3362
Si 0.6638 0.6638 0.6638
H 0.2010 0.2010 0.2010
H 0.7990 0.7990 0.7990

---

Th2SiH3 | PBE-GGA | relaxed

## Properties
As for the total energy: -66.94 eV per cell. The space group is No. 12.

Cell: 7.7259 7.7259 7.0533 Å, 113.97 113.97 29.49°
Fractional positions:
Th 0.0211 0.0211 0.2574
Th 0.2845 0.2845 0.2748
Th 0.7155 0.7155 0.7252
Th 0.9789 0.9789 0.7426
Si 0.3765 0.3765 0.9542
Si 0.6235 0.6235 0.0458
H 0.1128 0.1128 0.6534
H 0.1948 0.1948 0.4840
H 0.4329 0.4329 0.5580
H 0.5671 0.5671 0.4420
H 0.8052 0.8052 0.5160
H 0.8872 0.8872 0.3466

---

ThSiH | PBE-GGA | relaxed

## Properties
The value obtained for the energy above the lowest structure with this stoichiometry is 0 meV per atom. As for the total energy: -36.33 eV per cell. The space group is No. 63.

Cell: 6.1927 6.1927 4.0701 Å, 90.00 90.00 140.54°
Fractional positions:
Th 0.1422 0.8578 0.7500
Th 0.8578 0.1422 0.2500
Si 0.4413 0.5587 0.7500
Si 0.5587 0.4413 0.2500
H 0.2523 0.7477 0.2500
H 0.7477 0.2523 0.7500